No. 1
KLa3Pt PBE optimized geometry; relative energy among the computed polymorphs = 0.000 kcal/mol of atoms; SG = No. 221; formation energy = -0.254 eV per atom; uncorrected energy = -23.2 eV for the cell shown
1.0
5.884 0.000 0.000
0.000 5.884 0.000
0.000 0.000 5.884
K La Pt
1 3 1
direct
0.000 0.000 0.000 K
0.000 0.500 0.500 La
0.500 0.000 0.500 La
0.500 0.500 0.000 La
0.500 0.500 0.500 Pt

---

No. 2
KLa2Pt PBE optimized geometry; relative energy among the computed polymorphs = 3.650 kcal/mol of atoms; SG = No. 44; formation energy = -0.372 eV per atom; uncorrected energy = -37.0 eV for the cell shown
1.0
3.911 0.000 0.000
0.000 4.012 0.000
0.000 0.000 21.487
K La Pt
2 4 2
direct
0.000 0.000 0.000 K
0.500 0.500 0.500 K
0.000 0.000 0.333 La
0.000 0.500 0.182 La
0.500 0.000 0.682 La
0.500 0.500 0.833 La
0.000 0.500 0.735 Pt
0.500 0.000 0.235 Pt

---

No. 3
KLa4Pt PBE optimized geometry; SG = No. 216; formation energy = 0.472 eV per atom; uncorrected energy = -24.0 eV for the cell shown
1.0
0.000 4.632 4.632
4.632 0.000 4.632
4.632 4.632 0.000
K La Pt
1 4 1
direct
0.000 0.000 0.000 K
0.140 0.620 0.620 La
0.620 0.140 0.620 La
0.620 0.620 0.140 La
0.620 0.620 0.620 La
0.250 0.250 0.250 Pt

---

No. 4
KLaPt3 PBE optimized geometry; relative energy among the computed polymorphs = 0.000 kcal/mol of atoms; SG = No. 221; formation energy = 0.382 eV per atom; uncorrected energy = -22.2 eV for the cell shown
1.0
5.455 0.000 0.000
0.000 5.455 0.000
0.000 0.000 5.455
K La Pt
1 1 3
direct
0.000 0.000 0.000 K
0.500 0.500 0.500 La
0.000 0.500 0.500 Pt
0.500 0.000 0.500 Pt
0.500 0.500 0.000 Pt

---

No. 5
KLa2Pt PBE optimized geometry; relative energy among the computed polymorphs = 12.487 kcal/mol of atoms; SG = No. 47; formation energy = 0.011 eV per atom; uncorrected energy = -16.9 eV for the cell shown
1.0
4.404 0.000 0.000
0.000 4.647 0.000
0.000 0.000 5.678
K La Pt
1 2 1
direct
0.000 0.000 0.000 K
0.500 0.000 0.500 La
0.500 0.500 0.000 La
0.000 0.500 0.500 Pt

---

No. 6
KLa2Pt PBE optimized geometry; relative energy among the computed polymorphs = 5.766 kcal/mol of atoms; SG = No. 71; formation energy = -0.281 eV per atom; uncorrected energy = -36.2 eV for the cell shown
1.0
3.974 0.000 0.000
0.000 6.434 0.000
0.000 0.000 11.420
K La Pt
2 4 2
direct
0.000 0.000 0.000 K
0.500 0.500 0.500 K
0.000 0.500 0.179 La
0.000 0.500 0.821 La
0.500 0.000 0.321 La
0.500 0.000 0.679 La
0.000 0.000 0.500 Pt
0.500 0.500 0.000 Pt